Record 1
VASP calculation (PBE) on a relaxed structure of ZrTa2GaGe.

Properties
**Volume**: 106.9 Å³/cell
**SG**: P4/mmm
**Uncorrected energy**: -36.0 eV/f.u.

Cell: 4.807 4.626 4.807 Å, 90.00 90.00 90.00°
Atoms (fractional coordinates):
Ge: 0.000 0.000 0.000
Ga: 0.000 0.500 0.000
Zr: 0.500 0.500 0.500
Ta: 0.000 0.000 0.500
Ta: 0.500 0.000 0.000

Record 2
VASP calculation (PBE) on a relaxed structure of AlCr.

Properties
**Volume**: 52.9 Å³/cell
**SG**: Imma
**Uncorrected energy**: -13.6 eV/f.u.

Cell: 4.865 4.865 4.865 Å, 143.31 128.90 64.55°
Atoms (fractional coordinates):
Cr: 0.898 0.148 0.250
Cr: 0.102 0.852 0.750
Al: 0.363 0.613 0.250
Al: 0.637 0.387 0.750

Record 3
VASP calculation (PBE) on a relaxed structure of NaY2PbO6.

Properties
**Volume**: 152.5 Å³/cell
**SG**: R3
**Uncorrected energy**: -69.2 eV/f.u.

Cell: 5.815 5.815 6.196 Å, 62.01 62.01 60.00°
Each line ends with the local moment (μB).
Atoms (fractional coordinates):
Na: 0.801 0.801 0.597  0.00
Y: 0.523 0.523 0.430  -0.01
Y: 0.016 0.016 0.952  0.00
Pb: 0.312 0.312 0.063  -0.01
O: 0.605 0.230 0.237  0.07
O: 0.230 0.928 0.237  0.07
O: 0.928 0.605 0.237  0.07
O: 0.385 0.708 0.754  0.23
O: 0.708 0.153 0.754  0.23
O: 0.153 0.385 0.754  0.23

Record 4
VASP calculation (PBE) on a relaxed structure of SmEr3Sc5.

Properties
**Volume**: 491.2 Å³/cell
**SG**: I4/mcm
**Uncorrected energy**: -47.4 eV/f.u.

Cell: 8.286 8.286 9.247 Å, 116.62 116.62 90.00°
Atoms (fractional coordinates):
Sm: 0.750 0.250 0.500
Sm: 0.250 0.750 0.500
Er: 0.620 0.120 0.000
Er: 0.380 0.880 0.000
Er: 0.880 0.620 0.000
Er: 0.120 0.380 0.000
Er: 0.250 0.250 0.500
Er: 0.750 0.750 0.500
Sc: 0.069 0.569 0.730
Sc: 0.662 0.162 0.730
Sc: 0.162 0.069 0.730
Sc: 0.569 0.662 0.730
Sc: 0.931 0.431 0.270
Sc: 0.338 0.838 0.270
Sc: 0.838 0.931 0.270
Sc: 0.431 0.338 0.270
Sc: 0.500 0.500 0.000
Sc: 0.000 0.000 0.000